{"formula": "FeGe2Ir", "functional": "PBE-GGA", "state": "optimized geometry", "delta_e_f_ev_per_atom": -0.001, "volume_a3_per_atom": 13.8, "spacegroup": "Fm-3m (225)", "lattice_angstrom": [[0.0000, 3.0234, 3.0234], [3.0234, 0.0000, 3.0234], [3.0234, 3.0234, 0.0000]], "species": ["Fe", "Ge", "Ge", "Ir"], "fractional_positions": [[0.0000, 0.0000, 0.0000], [0.2500, 0.2500, 0.2500], [0.7500, 0.7500, 0.7500], [0.5000, 0.5000, 0.5000]]}